A relaxed Cs2VBr4F2 crystal. Source: Alexandria, functional GGA+U.

Calculated values
The space group is No. 12. For the total magnetic moment, the calculation gives 0.11 μB/atom. The raw total energy comes out at -3.931 eV/atom. Its crystal system is monoclinic.

Cell: 7.3138 7.3138 6.2073 Å, 99.87 99.87 64.28°
Sites, in units of the cell vectors:
Cs 0.1691 0.1691 0.3236
Cs 0.8309 0.8309 0.6764
V 0.5000 0.5000 0.0000
Br 0.1736 0.6423 0.1877
Br 0.3577 0.8264 0.8123
Br 0.6423 0.1736 0.1877
Br 0.8264 0.3577 0.8123
F 0.3821 0.3821 0.7712
F 0.6179 0.6179 0.2288